A plane-wave DFT calculation with GGA+U was carried out for an optimized crystal structure of NaMgCr2F6.

```
NaMgCr2F6
1.0
-4.472 -3.308 -0.921
-0.969 -4.367 3.244
-4.530 0.353 4.146
Na Mg Cr F
1 1 2 6
direct
0.801 0.805 0.582
0.330 0.320 0.022
0.522 0.537 0.417
0.013 0.998 0.975
0.623 0.187 0.203
0.237 0.957 0.246
0.991 0.589 0.217
0.379 0.726 0.798
0.673 0.160 0.747
0.092 0.383 0.810
```

Results
As for the spin magnetization: 9.00 μB per formula unit. Its total energy is -5.519 eV per atom. As for the space group: P1, No. 1.